A geometry-optimized ZrBiPCl2 structure, computed with GGA-PBE.

a = 4.926 Å, b = 4.926 Å, c = 5.405 Å
α = 90.00°, β = 90.00°, γ = 90.00°
Each line ends with the local moment (μB).
Element x y z (fractional)
Zr: 0.000 0.000 0.000  0.03
Cl: 0.000 0.500 0.000  0.04
Cl: 0.500 0.000 0.000  0.04
Bi: 0.500 0.500 0.500  0.79
P: 0.000 0.000 0.500  -0.04

Properties
* V: 26.24 A^3/atom
* ΔE_f (raw): -45 kJ per mole of atoms
* SG: P4/mmm
* magnetization: 0.25 μB per atom
* E_tot: -4.78 eV/atom
* mass density: 5.09 g/cm³

A geometry-optimized AcPm3Tl2 structure, computed with GGA-PBE.

a = 5.574 Å, b = 9.757 Å, c = 9.472 Å
α = 123.76°, β = 90.00°, γ = 106.60°
Element x y z (fractional)
Tl: 0.775 0.550 0.151
Tl: 0.492 0.985 0.151
Tl: 0.225 0.450 0.849
Tl: 0.508 0.015 0.849
Pm: 0.303 0.606 0.599
Pm: 0.383 0.765 0.302
Pm: 0.062 0.125 0.412
Pm: 0.938 0.875 0.588
Pm: 0.697 0.394 0.401
Pm: 0.617 0.235 0.698
Ac: 0.129 0.258 0.081
Ac: 0.871 0.742 0.919

Properties
* V: 33.52 A^3/atom
* ΔE_f: -0.19 eV/atom
* SG: C2/m
* magnetization: 0.00 μB per atom
* E_tot: -4.04 eV/atom
* mass density: 8.84 g/cm³